First-principles (PBE) data for MgMnW2 after structural relaxation, as listed in the Alexandria database.

Fermi-level density of states = 1.05 states/eV/atom
volume = 62.2 Å³ per cell
ΔE_f = 44.2 kJ per mole of atoms
spin magnetization = 0.0 μB per formula unit

Unit cell a=9.329 b=9.329 c=9.329 alpha=17.23 beta=17.23 gamma=17.23
Element x y z (fractional)
1 Mg 0.000 0.000 0.000
2 Mn 0.500 0.500 0.500
3 W 0.242 0.242 0.242
4 W 0.758 0.758 0.758